# Zr4CoTc3

Zr4CoTc3 after structural relaxation (PBE, Alexandria).

The value obtained for the energy is -75.24 eV/cell. The formation energy is -34.31 kJ per mole of atoms.

a b c (Å): 3.279 3.279 13.039
angles (deg): 90.00 90.00 90.00
Space group P4/mmm (No. 123)
Inequivalent atoms, fractional coordinates:
Zr 0.000 0.000 0.123
Zr 0.000 0.000 0.373
Co 0.500 0.500 0.000
Tc 0.500 0.500 0.244
Tc 0.500 0.500 0.500